1.
Here is a relaxed Nb2AgW crystal from OQMD. Energies are from PBE-GGA.

a = 4.621 Å, b = 4.621 Å, c = 4.621 Å
α = 60.00°, β = 60.00°, γ = 60.00°
Atoms (fractional coordinates):
Nb1 0.250 0.250 0.250
Ag1 0.750 0.750 0.750
Nb2 0.500 0.500 0.500
W1 0.000 0.000 0.000



2.
Here is a relaxed ErHfZnCo2 crystal from OQMD. Energies are from PBE-GGA.

a = 5.092 Å, b = 5.092 Å, c = 5.092 Å
α = 133.53°, β = 116.86°, γ = 81.92°
Atoms (fractional coordinates):
Er1 0.291 0.791 0.500
Co1 0.288 0.504 0.785
Hf1 0.708 0.208 0.500
Co2 0.719 0.504 0.215
Zn1 0.995 0.995 0.000



Number 1: volume 17.4 Å³ per atom, total energy -0.3134 hartree per atom, formation energy from the elements 0.47 eV per atom. Number 2: volume 16.5 Å³ per atom, total energy -0.2323 hartree per atom, formation energy from the elements -0.32 eV per atom.